No. 1
A plane-wave DFT calculation with SCAN was carried out for Si3AgSb at its PBEsol-relaxed geometry.

Properties
* ΔE_f (raw): 1117 meV per atom
* size of the total moment: 0.00 μB per cell
* Fermi-level density of states: 0.53 states/eV per atom
* excess energy over the best structure of this formula in the dataset: 0 meV per atom

The structure in CIF format:
```
data_Si3AgSb
_chemical_formula_sum 'Si3 Ag1 Sb1'
_cell_length_a 4.787
_cell_length_b 4.787
_cell_length_c 4.787
_cell_angle_alpha 90.00
_cell_angle_beta 90.00
_cell_angle_gamma 90.00
_space_group_name_H-M_alt 'P m -3 m'
_space_group_IT_number 221
_space_group_name_Hall '-P 4 2 3'
loop_
_atom_site_label
_atom_site_type_symbol
_atom_site_fract_x
_atom_site_fract_y
_atom_site_fract_z
_atom_site_occupancy
Si1 Si 0.000 0.000 0.500 1
Ag1 Ag 0.000 0.000 0.000 1
Sb1 Sb 0.500 0.500 0.500 1
```

=====

No. 2
A plane-wave DFT calculation with SCAN was carried out for AgSnSb3 at its PBEsol-relaxed geometry.

Properties
* ΔE_f (raw): 1048 meV per atom
* size of the total moment: 0.00 μB per cell
* Fermi-level density of states: 0.87 states/eV per atom

The structure in CIF format:
```
data_AgSnSb3
_chemical_formula_sum 'Ag1 Sn1 Sb3'
_cell_length_a 5.543
_cell_length_b 5.543
_cell_length_c 5.543
_cell_angle_alpha 90.00
_cell_angle_beta 90.00
_cell_angle_gamma 90.00
_space_group_name_H-M_alt 'P m -3 m'
_space_group_IT_number 221
_space_group_name_Hall '-P 4 2 3'
loop_
_atom_site_label
_atom_site_type_symbol
_atom_site_fract_x
_atom_site_fract_y
_atom_site_fract_z
_atom_site_occupancy
Ag1 Ag 0.000 0.000 0.000 1
Sn1 Sn 0.500 0.500 0.500 1
Sb1 Sb 0.000 0.500 0.500 1
```

=====

no.,calculated total energy (eV/atom)
1,-18.62
2,-34.77